Below is a PBEsol-optimized structure of NaSrMg2Sc, with properties calculated at the meta-GGA SCAN level.

a = 5.794 Å, b = 5.794 Å, c = 5.531 Å
α = 90.00°, β = 90.00°, γ = 90.00°
Space group P4/mmm (No. 123)
Asymmetric unit:
Na: 0.000 0.000 0.000 (multiplicity 1)
Sr: 0.000 0.000 0.500 (multiplicity 1)
Mg: 0.000 0.500 0.500 (multiplicity 2)
Sc: 0.500 0.500 0.000 (multiplicity 1)

Formation energy from the elements = 5.708 eV/f.u.
M_tot = 0.29 μB/atom